# 1
{
  "formula": "PaGePd",
  "functional": "PBE",
  "state": "relaxed",
  "lattice": [[0.000, 3.231, 3.231], [3.231, 0.000, 3.231], [3.231, 3.231, 0.000]],
  "species": ["Ge", "Pd", "Pa"],
  "frac_coords": [[0.250, 0.250, 0.250], [0.000, 0.000, 0.000], [0.750, 0.750, 0.750]],
  "energy_ev_per_atom": -6.952,
  "magnetic_moment_mub_per_fu": 0.94
}

=====

# 2
{
  "formula": "PaGePd",
  "functional": "PBE",
  "state": "relaxed",
  "lattice": [[0.000, 3.329, 3.329], [3.329, 0.000, 3.329], [3.329, 3.329, 0.000]],
  "species": ["Pd", "Ge", "Pa"],
  "frac_coords": [[0.750, 0.750, 0.750], [0.250, 0.250, 0.250], [0.000, 0.000, 0.000]],
  "energy_ev_per_atom": -6.443,
  "magnetic_moment_mub_per_fu": 0.14
}

=====

# 3
{
  "formula": "Pa3Ge3Pd2",
  "functional": "PBE",
  "state": "relaxed",
  "lattice": [[-3.238, -0.761, -4.672], [-0.401, -1.288, 5.574], [-6.481, 12.587, 2.443]],
  "species": ["Ge", "Ge", "Ge", "Ge", "Ge", "Ge", "Pa", "Pa", "Pa", "Pa", "Pa", "Pa", "Pd", "Pd", "Pd", "Pd"],
  "frac_coords": [[0.358, 0.642, 0.250], [0.612, 0.388, 0.039], [0.642, 0.358, 0.750], [0.612, 0.388, 0.461], [0.388, 0.612, 0.539], [0.388, 0.612, 0.961], [0.921, 0.079, 0.115], [0.362, 0.638, 0.750], [0.638, 0.362, 0.250], [0.921, 0.079, 0.385], [0.079, 0.921, 0.885], [0.079, 0.921, 0.615], [0.213, 0.787, 0.102], [0.787, 0.213, 0.602], [0.787, 0.213, 0.898], [0.213, 0.787, 0.398]],
  "energy_ev_per_atom": -7.218,
  "magnetic_moment_mub_per_fu": 0.07
}